{
  "formula": "Y2InAuO",
  "functional": "PBE",
  "state": "relaxed",
  "m_tot_mub_per_fu": 0.00,
  "raw_formation_energy_ev_per_atom": -1.241,
  "energy_ev_per_cell": -30.11,
  "lattice_angstrom": [[4.635, 0.000, 0.000], [0.000, 4.880, 0.000], [0.000, 0.000, 4.635]],
  "species": ["Y", "Y", "In", "O", "Au"],
  "frac_coords": [[0.500, 0.000, 0.000], [0.000, 0.000, 0.500], [0.000, 0.500, 0.000], [0.000, 0.000, 0.000], [0.500, 0.500, 0.500]]
}



{
  "formula": "RbMnI3",
  "functional": "PBE",
  "state": "relaxed",
  "m_tot_mub_per_fu": 5.00,
  "raw_formation_energy_ev_per_atom": -0.828,
  "energy_ev_per_cell": -18.93,
  "lattice_angstrom": [[4.754, 0.000, 0.000], [0.000, 4.476, -5.615], [0.000, 4.476, 5.615]],
  "species": ["Rb", "Mn", "I", "I", "I"],
  "frac_coords": [[0.000, 0.575, 0.425], [0.500, 0.047, 0.953], [0.000, 0.176, 0.824], [0.500, 0.668, 0.837], [0.500, 0.163, 0.332]]
}



{
  "formula": "RbTi3Te3",
  "functional": "PBE",
  "state": "relaxed",
  "m_tot_mub_per_fu": 4.94,
  "raw_formation_energy_ev_per_atom": -0.719,
  "energy_ev_per_cell": -78.23,
  "lattice_angstrom": [[4.841, 0.000, 0.000], [0.000, 8.776, -5.067], [0.000, 0.000, 10.134]],
  "species": ["Ti", "Te", "Ti", "Te", "Te", "Te", "Ti", "Rb", "Ti", "Ti", "Ti", "Te", "Te", "Rb"],
  "frac_coords": [[0.250, 0.970, 0.819], [0.750, 0.708, 0.057], [0.750, 0.030, 0.181], [0.250, 0.651, 0.708], [0.750, 0.349, 0.292], [0.250, 0.292, 0.943], [0.250, 0.181, 0.151], [0.750, 0.333, 0.667], [0.750, 0.819, 0.849], [0.250, 0.849, 0.030], [0.750, 0.151, 0.970], [0.250, 0.057, 0.349], [0.750, 0.943, 0.651], [0.250, 0.667, 0.333]]
}